Below is an optimized crystal structure of Dy3CuPd2, with properties calculated at the GGA-PBE level.

a = 4.9429 Å, b = 4.9429 Å, c = 12.1592 Å
α = 90.00°, β = 90.00°, γ = 120.00°
With the nearest neighbours (Å) after each atom.
Atoms (fractional coordinates):
Dy 0.3333 0.6667 0.4174  4 Pd 3.02-3.03, 4 Cu 3.03
Dy 0.6667 0.3333 0.0837  7 Pd 3.03-3.08, 1 Cu 3.04
Dy 0.0000 0.0000 0.7495  5 Pd 3.02-3.05, 3 Cu 3.03
Dy 0.0000 0.0000 0.2505  5 Pd 3.02-3.05, 3 Cu 3.03
Dy 0.3333 0.6667 0.9163  7 Pd 3.03-3.08, 1 Cu 3.04
Dy 0.6667 0.3333 0.5826  4 Pd 3.02-3.03, 4 Cu 3.03
Cu 0.3333 0.6667 0.6667  8 Dy 3.03-3.04
Cu 0.6667 0.3333 0.3333  8 Dy 3.03-3.04
Pd 0.0000 0.0000 0.5000  8 Dy 3.03
Pd 0.3333 0.6667 0.1692  8 Dy 3.02-3.08
Pd 0.6667 0.3333 0.8308  8 Dy 3.02-3.08
Pd 0.0000 0.0000 0.0000  8 Dy 3.03-3.05

Calculated values
The space group is P-3m1.

Below is an optimized crystal structure of DyCu2Pd8, with properties calculated at the GGA-PBE level.

a = 4.0424 Å, b = 6.3429 Å, c = 7.3356 Å
α = 106.36°, β = 105.99°, γ = 90.00°
With the nearest neighbours (Å) after each atom.
Atoms (fractional coordinates):
Dy 0.5000 0.0000 0.0000  12 Pd 2.81-2.90
Cu 0.2282 0.6416 0.4564  10 Pd 2.66-2.86, 2 Cu 2.89
Cu 0.7718 0.3584 0.5436  10 Pd 2.66-2.86, 2 Cu 2.89
Pd 0.5987 0.4696 0.1974  3 Cu 2.73, 8 Pd 2.75-2.92, 1 Dy 2.89
Pd 0.3149 0.0814 0.6298  3 Cu 2.70-2.86, 8 Pd 2.72-2.89, 1 Dy 2.81
Pd 0.1449 0.2074 0.2898  3 Cu 2.66-2.68, 7 Pd 2.74-2.96, 2 Dy 2.90
Pd 0.0495 0.7245 0.0990  1 Cu 2.72, 9 Pd 2.78-2.96, 2 Dy 2.89
Pd 0.8551 0.7926 0.7102  3 Cu 2.66-2.68, 7 Pd 2.74-2.96, 2 Dy 2.90
Pd 0.6851 0.9186 0.3702  3 Cu 2.70-2.86, 8 Pd 2.72-2.89, 1 Dy 2.81
Pd 0.4013 0.5304 0.8026  3 Cu 2.73, 8 Pd 2.75-2.92, 1 Dy 2.89
Pd 0.9505 0.2755 0.9010  1 Cu 2.72, 9 Pd 2.78-2.96, 2 Dy 2.89

Calculated values
The space group is C2/m.

Below is an optimized crystal structure of DyCuPd3, with properties calculated at the GGA-PBE level.

a = 4.4252 Å, b = 6.1708 Å, c = 6.4424 Å
α = 90.00°, β = 90.00°, γ = 90.00°
With the nearest neighbours (Å) after each atom.
Atoms (fractional coordinates):
Dy 0.5000 0.0000 0.2234  6 Pd 2.86-2.87, 2 Cu 3.10
Dy 0.0000 0.5000 0.7766  6 Pd 2.86-2.87, 2 Cu 3.10
Cu 0.0000 0.0000 0.5613  3 Pd 2.45-2.53
Cu 0.5000 0.5000 0.4387  3 Pd 2.45-2.53
Pd 0.0000 0.7112 0.2832  3 Cu 2.53-2.76, 1 Pd 2.61
Pd 0.5000 0.7888 0.7168  3 Cu 2.53-2.76, 1 Pd 2.61
Pd 0.5000 0.2112 0.7168  3 Cu 2.53-2.76, 1 Pd 2.61
Pd 0.0000 0.2888 0.2832  3 Cu 2.53-2.76, 1 Pd 2.61
Pd 0.0000 0.0000 0.9413  1 Cu 2.45
Pd 0.5000 0.5000 0.0587  1 Cu 2.45

Calculated values
The space group is Pmmn.

Below is an optimized crystal structure of Dy8Cu2Pd, with properties calculated at the GGA-PBE level.

a = 5.0700 Å, b = 6.7085 Å, c = 9.0637 Å
α = 105.21°, β = 106.24°, γ = 90.00°
With the nearest neighbours (Å) after each atom.
Atoms (fractional coordinates):
Dy 0.4086 0.5457 0.8171  1 Pd 3.03, 2 Cu 3.29
Dy 0.6690 0.9823 0.3381  1 Cu 2.75, 1 Pd 2.98
Dy 0.7995 0.6679 0.5991  1 Cu 2.75
Dy 0.9678 0.2166 0.9357  1 Cu 2.77, 2 Pd 3.05
Dy 0.2005 0.3321 0.4009  1 Cu 2.75
Dy 0.3310 0.0177 0.6619  1 Cu 2.75, 1 Pd 2.98
Dy 0.5914 0.4543 0.1829  1 Pd 3.03, 2 Cu 3.29
Dy 0.0322 0.7834 0.0643  1 Cu 2.77, 2 Pd 3.05
Cu 0.8158 0.2711 0.6317  3 Dy 2.75-2.77
Cu 0.1842 0.7289 0.3683  3 Dy 2.75-2.77
Pd 0.5000 0.0000 0.0000  8 Dy 2.98-3.05

Calculated values
The space group is C2/m.

Below is an optimized crystal structure of Dy4CuPd3, with properties calculated at the GGA-PBE level.

a = 3.7363 Å, b = 4.5572 Å, c = 10.4908 Å
α = 90.00°, β = 90.00°, γ = 90.00°
With the nearest neighbours (Å) after each atom.
Atoms (fractional coordinates):
Dy 0.5000 0.5000 0.3627  1 Cu 2.99, 6 Pd 2.99-3.00
Dy 0.0000 0.5000 0.8612  5 Pd 2.88-3.02, 2 Cu 2.94
Dy 0.0000 0.0000 0.1382  3 Pd 2.88-2.94, 4 Cu 3.01
Dy 0.5000 0.0000 0.6385  7 Pd 2.98-3.02
Cu 0.5000 0.5000 0.0776  2 Pd 2.80, 7 Dy 2.94-3.01
Pd 0.0000 0.5000 0.5869  7 Dy 2.88-3.00, 2 Pd 2.92
Pd 0.0000 0.0000 0.4126  7 Dy 2.88-3.02, 2 Pd 2.92
Pd 0.5000 0.0000 0.9223  2 Cu 2.80, 7 Dy 2.94-3.02

Calculated values
The space group is Pmm2.

Below is an optimized crystal structure of Dy2Cu3Pd, with properties calculated at the GGA-PBE level.

a = 5.5389 Å, b = 5.5389 Å, c = 8.6609 Å
α = 112.56°, β = 112.56°, γ = 78.47°
With the nearest neighbours (Å) after each atom.
Atoms (fractional coordinates):
Dy 0.7500 0.2500 0.5000  4 Pd 3.04, 8 Cu 3.06-3.09
Dy 0.7489 0.2511 0.0000  10 Cu 2.99-3.06, 2 Pd 3.06
Dy 0.2500 0.7500 0.5000  4 Pd 3.04, 8 Cu 3.06-3.09
Dy 0.2511 0.7489 0.0000  10 Cu 2.99-3.06, 2 Pd 3.06
Cu 0.8374 0.8374 0.1621  2 Cu 2.43-2.44, 1 Pd 2.55
Cu 0.6753 0.6753 0.8379  2 Cu 2.43-2.44, 1 Pd 2.55
Cu 0.1626 0.1626 0.8379  2 Cu 2.43-2.44, 1 Pd 2.55
Cu 0.3247 0.3247 0.1621  2 Cu 2.43-2.44, 1 Pd 2.55
Cu 0.1631 0.1631 0.3262  2 Cu 2.43, 1 Pd 2.56
Cu 0.8369 0.8369 0.6738  2 Cu 2.43, 1 Pd 2.56
Pd 0.6668 0.6668 0.3336  3 Cu 2.55-2.56
Pd 0.3332 0.3332 0.6664  3 Cu 2.55-2.56

Calculated values
The space group is Fmmm.

Below is an optimized crystal structure of Dy3Cu2Pd, with properties calculated at the GGA-PBE level.

a = 4.9295 Å, b = 4.9295 Å, c = 6.0334 Å
α = 90.00°, β = 90.00°, γ = 120.00°
With the nearest neighbours (Å) after each atom.
Atoms (fractional coordinates):
Dy 0.0000 0.0000 0.5000  6 Cu 3.00, 2 Pd 3.02
Dy 0.6667 0.3333 0.8337  5 Cu 2.96-3.08, 3 Pd 3.02
Dy 0.3333 0.6667 0.1663  5 Cu 2.96-3.08, 3 Pd 3.02
Cu 0.6667 0.3333 0.3437  8 Dy 2.96-3.08
Cu 0.3333 0.6667 0.6563  8 Dy 2.96-3.08
Pd 0.0000 0.0000 0.0000  8 Dy 3.02

Calculated values
The space group is P-3m1.

Below is an optimized crystal structure of Dy2Cu2Pd, with properties calculated at the GGA-PBE level.

a = 4.0048 Å, b = 5.4892 Å, c = 10.1144 Å
α = 81.59°, β = 78.58°, γ = 68.61°
With the nearest neighbours (Å) after each atom.
Atoms (fractional coordinates):
Dy 0.3092 0.2662 0.1153  5 Cu 2.92-3.05, 2 Pd 2.96
Dy 0.5120 0.3154 0.6606  3 Pd 2.91-3.01, 6 Cu 2.92-3.11
Dy 0.6908 0.7338 0.8847  5 Cu 2.92-3.05, 2 Pd 2.96
Dy 0.4880 0.6846 0.3394  3 Pd 2.91-3.01, 6 Cu 2.92-3.11
Cu 0.9725 0.1614 0.8935  1 Cu 2.57, 1 Pd 2.63
Cu 0.1349 0.2816 0.4485  1 Cu 2.53, 2 Pd 2.56
Cu 0.0275 0.8386 0.1065  1 Cu 2.57, 1 Pd 2.63
Cu 0.8651 0.7184 0.5515  1 Cu 2.53, 2 Pd 2.56
Pd 0.7880 0.0996 0.3244  4 Cu 2.56-2.86
Pd 0.2120 0.9004 0.6756  4 Cu 2.56-2.86

Calculated values
The space group is C2/m.

Below is an optimized crystal structure of DyCu2Pd7, with properties calculated at the GGA-PBE level.

a = 4.4546 Å, b = 7.1474 Å, c = 7.1475 Å
α = 119.67°, β = 90.00°, γ = 90.00°
With the nearest neighbours (Å) after each atom.
Atoms (fractional coordinates):
Dy 0.0000 0.0000 0.0000  10 Pd 2.72-2.98
Cu 0.5000 0.6989 0.3011  7 Pd 2.44-2.62
Cu 0.5000 0.3011 0.6989  7 Pd 2.44-2.62
Pd 0.0000 0.7801 0.2199  2 Cu 2.44, 1 Dy 2.72
Pd 0.0000 0.2199 0.7801  2 Cu 2.44, 1 Dy 2.72
Pd 0.5000 0.0673 0.3042  2 Cu 2.47-2.62, 2 Pd 2.67-2.69
Pd 0.5000 0.9327 0.6958  2 Cu 2.47-2.62, 2 Pd 2.67-2.69
Pd 0.5000 0.3042 0.0673  2 Cu 2.47-2.62, 2 Pd 2.67-2.69
Pd 0.5000 0.6958 0.9327  2 Cu 2.47-2.62, 2 Pd 2.67-2.69
Pd 0.5000 0.5000 0.5000  2 Cu 2.46, 4 Pd 2.69

Calculated values
The space group is Cmmm.

Below is an optimized crystal structure of DyCuPd4, with properties calculated at the GGA-PBE level.

a = 5.2959 Å, b = 5.2959 Å, c = 5.2959 Å
α = 60.00°, β = 60.00°, γ = 60.00°
With the nearest neighbours (Å) after each atom.
Atoms (fractional coordinates):
Cu 0.0000 0.0000 0.0000  12 Pd 3.10, 4 Dy 3.24
Pd 0.6254 0.6254 0.1238  6 Pd 2.64-2.66
Pd 0.6254 0.1238 0.6254  6 Pd 2.64-2.66
Pd 0.6254 0.6254 0.6254  6 Pd 2.64-2.66
Pd 0.1238 0.6254 0.6254  6 Pd 2.64-2.66
Dy 0.2500 0.2500 0.2500  12 Pd 3.11, 4 Cu 3.24

Calculated values
The space group is F-43m.

Below is an optimized crystal structure of DyCu3Pd, with properties calculated at the GGA-PBE level.

a = 4.8047 Å, b = 4.8047 Å, c = 9.4485 Å
α = 104.73°, β = 104.73°, γ = 90.00°
With the nearest neighbours (Å) after each atom.
Atoms (fractional coordinates):
Dy 0.5799 0.0799 0.1597  2 Pd 2.78, 6 Cu 2.83-3.02
Dy 0.9201 0.4201 0.8403  2 Pd 2.78, 6 Cu 2.83-3.02
Cu 0.6176 0.8716 0.7432  2 Cu 2.36-2.44, 2 Pd 2.45-2.57
Cu 0.1284 0.8744 0.2568  2 Cu 2.36-2.44, 2 Pd 2.45-2.57
Cu 0.1284 0.3824 0.2568  2 Cu 2.36-2.44, 2 Pd 2.45-2.57
Cu 0.1256 0.8716 0.7432  2 Cu 2.36-2.44, 2 Pd 2.45-2.57
Cu 0.3167 0.3167 0.6333  2 Pd 2.67, 4 Cu 2.85
Cu 0.6833 0.6833 0.3667  2 Pd 2.67, 4 Cu 2.85
Pd 0.0000 0.0000 0.0000  4 Cu 2.57, 4 Dy 2.78
Pd 0.2500 0.7500 0.5000  8 Cu 2.45-2.67

Calculated values
The space group is I-4m2.

Below is an optimized crystal structure of DyCu2Pd6, with properties calculated at the GGA-PBE level.

a = 7.2662 Å, b = 7.2662 Å, c = 7.2662 Å
α = 103.27°, β = 110.39°, γ = 114.96°
With the nearest neighbours (Å) after each atom.
Atoms (fractional coordinates):
Dy 0.0000 0.5000 0.5000  12 Pd 2.73-2.93
Dy 0.0000 0.0000 0.0000  8 Pd 2.84-2.88, 2 Cu 2.99
Cu 0.5000 0.3745 0.8745  1 Cu 2.26, 2 Pd 2.44
Cu 0.5000 0.6255 0.1255  1 Cu 2.26, 2 Pd 2.44
Cu 0.6399 0.0000 0.6399  1 Cu 2.32, 4 Pd 2.53-2.59
Cu 0.3601 0.0000 0.3601  1 Cu 2.32, 4 Pd 2.53-2.59
Pd 0.5038 0.7113 0.7925  3 Cu 2.59-2.64, 1 Dy 2.84, 2 Pd 2.88
Pd 0.4962 0.2887 0.2075  3 Cu 2.59-2.64, 1 Dy 2.84, 2 Pd 2.88
Pd 0.0812 0.2887 0.7925  3 Cu 2.59-2.64, 1 Dy 2.84, 2 Pd 2.88
Pd 0.9188 0.7113 0.2075  3 Cu 2.59-2.64, 1 Dy 2.84, 2 Pd 2.88
Pd 0.7824 0.7517 0.5341  2 Cu 2.53-2.60
Pd 0.2176 0.2483 0.4659  2 Cu 2.53-2.60
Pd 0.2176 0.7517 0.9694  2 Cu 2.53-2.60
Pd 0.7824 0.2483 0.0306  2 Cu 2.53-2.60
Pd 0.7252 0.4117 0.6865  3 Cu 2.44-2.70, 1 Dy 2.73
Pd 0.2748 0.5883 0.3135  3 Cu 2.44-2.70, 1 Dy 2.73
Pd 0.2748 0.9612 0.6865  3 Cu 2.44-2.70, 1 Dy 2.73
Pd 0.7252 0.0388 0.3135  3 Cu 2.44-2.70, 1 Dy 2.73

Calculated values
The space group is Immm.

Number 1: raw total energy -64.7 eV for the cell shown. Number 2: raw total energy -58.1 eV for the cell shown. Number 3: raw total energy -53.6 eV for the cell shown. Number 4: raw total energy -52.7 eV for the cell shown. Number 5: raw total energy -44.2 eV for the cell shown. Number 6: raw total energy -58.4 eV for the cell shown. Number 7: raw total energy -30.0 eV for the cell shown. Number 8: raw total energy -49.9 eV for the cell shown. Number 9: raw total energy -48.2 eV for the cell shown. Number 10: raw total energy -32.1 eV for the cell shown. Number 11: raw total energy -43.4 eV for the cell shown. Number 12: raw total energy -93.2 eV for the cell shown.